Record 1
A relaxed structure of SeCl7, computed with PBE-GGA.

Output
Uncorrected energy (eV per cell): -9.9
Magnetization (μB per atom): 0.131
DOS(E_F) (states/eV/f.u.): 12.56
E_form (uncorrected) (meV/atom): 819

Cell and atoms, written as POSCAR:
```
SeCl7
1.0
0.000 4.358 4.358
4.358 0.000 4.358
4.358 4.358 0.000
Se Cl
1 7
Direct
0.000 0.000 0.000
0.500 0.500 0.000
0.500 0.000 0.500
0.500 0.000 0.000
0.000 0.000 0.500
0.000 0.500 0.000
0.000 0.500 0.500
0.500 0.500 0.500
```

Record 2
A relaxed structure of TbNd2Zn, computed with PBE-GGA.

Output
Uncorrected energy (eV per cell): -16.0
Excess energy over the best structure of this formula in the dataset (eV/atom): 0.013
ΔE_f (eV per atom): -0.14
Magnetization (μB per atom): 0.000
DOS(E_F) (states/eV/f.u.): 3.98

Cell and atoms, written as POSCAR:
```
TbNd2Zn
1.0
-3.607 0.285 0.603
0.240 -2.540 2.636
1.485 6.283 5.918
Nd Zn Tb
2 1 1
Direct
0.000 0.000 0.789
0.000 0.000 0.211
0.500 0.500 0.000
0.500 0.500 0.500
```

Record 3
A relaxed structure of SrMnTl2, computed with PBE-GGA.

Output
Uncorrected energy (eV per cell): -14.8
ΔE_f (eV per atom): 0.20
Magnetization (μB per atom): 1.051
DOS(E_F) (states/eV/f.u.): 3.25

Cell and atoms, written as POSCAR:
```
SrMnTl2
1.0
-3.653 0.962 4.640
-2.285 -5.141 2.037
5.586 1.769 -1.211
Mn Sr Tl
1 1 2
Direct
0.500 0.500 0.000
0.750 0.250 0.500
0.000 0.000 0.000
0.250 0.750 0.500
```

Record 4
A relaxed structure of Y2TaAs, computed with PBE-GGA.

Output
Uncorrected energy (eV per cell): -28.6
ΔE_f (eV per atom): 0.21
Magnetization (μB per atom): 0.505
DOS(E_F) (states/eV/f.u.): 3.25

Cell and atoms, written as POSCAR:
```
Y2TaAs
1.0
4.999 0.000 0.000
2.500 4.329 0.000
2.500 1.443 4.082
Y As Ta
2 1 1
Direct
0.000 0.000 0.000
0.250 0.250 0.250
0.500 0.500 0.500
0.750 0.750 0.750
```

Record 5
A relaxed structure of Ca2HgPt, computed with PBE-GGA.

Output
Uncorrected energy (eV per cell): -12.7
ΔE_f (eV per atom): -0.59
Magnetization (μB per atom): 0.000
DOS(E_F) (states/eV/f.u.): 2.07

Cell and atoms, written as POSCAR:
```
Ca2HgPt
1.0
6.594 0.207 0.017
5.500 3.643 0.017
1.758 0.560 4.494
Ca Hg Pt
2 1 1
Direct
0.954 0.954 0.046
0.746 0.746 0.753
0.551 0.551 0.449
0.249 0.249 0.251
```

Record 6
A relaxed structure of RbYSn3, computed with PBE-GGA.

Output
Uncorrected energy (eV per cell): -19.2
Excess energy over the best structure of this formula in the dataset (eV/atom): 0.000
ΔE_f (eV per atom): 0.05
Magnetization (μB per atom): 0.000
DOS(E_F) (states/eV/f.u.): 2.62

Cell and atoms, written as POSCAR:
```
RbYSn3
1.0
5.887 0.000 0.000
0.000 5.887 0.000
0.000 0.000 5.887
Y Sn Rb
1 3 1
Direct
0.000 0.000 0.000
0.000 0.500 0.000
0.000 0.000 0.500
0.500 0.000 0.000
0.500 0.500 0.500
```

Record 7
A relaxed structure of CePmGeN, computed with PBE-GGA.

Output
Uncorrected energy (eV per cell): -55.6
Magnetization (μB per atom): 0.000
DOS(E_F) (states/eV/f.u.): 1.99
E_form (uncorrected) (meV/atom): -1039

Cell and atoms, written as POSCAR:
```
CePmGeN
1.0
4.516 0.000 0.000
0.000 4.516 0.000
0.000 0.000 8.840
Ce Pm Ge N
2 2 2 2
Direct
0.000 0.000 0.500
0.500 0.500 0.500
0.500 0.000 0.848
0.000 0.500 0.152
0.000 0.500 0.795
0.500 0.000 0.205
0.000 0.500 0.413
0.500 0.000 0.587
```

Record 8
A relaxed structure of YSiRu2, computed with PBE-GGA.

Output
Uncorrected energy (eV per cell): -31.8
Magnetization (μB per atom): 0.000
DOS(E_F) (states/eV/f.u.): 1.98
E_form (uncorrected) (meV/atom): -346

Cell and atoms, written as POSCAR:
```
YSiRu2
1.0
4.413 0.000 0.000
0.000 4.413 0.000
0.000 0.000 3.276
Ru Si Y
2 1 1
Direct
0.000 0.000 0.000
0.500 0.500 0.000
0.500 0.000 0.500
0.000 0.500 0.500
```

Record 9
A relaxed structure of Sc2AgP, computed with PBE-GGA.

Output
Uncorrected energy (eV per cell): -23.9
Excess energy over the best structure of this formula in the dataset (eV/atom): 0.004
ΔE_f (eV per atom): -0.75
Magnetization (μB per atom): 0.000
DOS(E_F) (states/eV/f.u.): 3.68

Cell and atoms, written as POSCAR:
```
Sc2AgP
1.0
-1.133 3.245 -1.555
-0.746 -3.275 -1.716
-5.801 -0.426 3.336
Sc Ag P
2 1 1
Direct
0.333 0.667 0.210
0.667 0.333 0.790
0.000 0.000 0.500
0.000 0.000 0.000
```

Record 10
A relaxed structure of KTm6Te8, computed with PBE-GGA.

Output
Uncorrected energy (eV per cell): -71.2
Magnetization (μB per atom): 0.001
DOS(E_F) (states/eV/f.u.): 7.25
E_form (uncorrected) (meV/atom): -1211

Cell and atoms, written as POSCAR:
```
KTm6Te8
1.0
8.337 0.017 0.017
-0.244 8.333 0.017
-0.244 -0.251 8.329
K Tm Te
1 6 8
Direct
0.000 0.000 0.000
0.601 0.437 0.796
0.437 0.796 0.601
0.796 0.601 0.437
0.399 0.563 0.204
0.563 0.204 0.399
0.204 0.399 0.563
0.756 0.756 0.756
0.244 0.244 0.244
0.606 0.866 0.281
0.866 0.281 0.606
0.281 0.606 0.866
0.394 0.134 0.719
0.134 0.719 0.394
0.719 0.394 0.134
```

Record 11
A relaxed structure of TbPuU2P4, computed with PBE-GGA.

Output
Uncorrected energy (eV per cell): -72.5
ΔE_f (eV per atom): -1.17
Magnetization (μB per atom): 0.173
DOS(E_F) (states/eV/f.u.): 20.93

Cell and atoms, written as POSCAR:
```
TbPuU2P4
1.0
-0.580 -3.220 2.207
4.860 2.079 4.310
-6.132 2.529 2.077
Tb Pu U P
1 1 2 4
Direct
0.500 0.500 0.000
0.000 0.000 0.000
0.500 0.000 0.500
0.000 0.500 0.500
0.500 0.251 0.255
0.500 0.749 0.745
0.000 0.247 0.743
0.000 0.753 0.257
```

Record 12
A relaxed structure of AcPu2Hg, computed with PBE-GGA.

Output
Uncorrected energy (eV per cell): -32.3
Excess energy over the best structure of this formula in the dataset (eV/atom): 0.139
ΔE_f (eV per atom): 0.19
Magnetization (μB per atom): 3.323
DOS(E_F) (states/eV/f.u.): 16.52

Cell and atoms, written as POSCAR:
```
AcPu2Hg
1.0
-2.476 -2.635 -4.100
2.611 -4.008 -2.646
-1.587 -5.191 0.650
Ac Hg Pu
1 1 2
Direct
0.500 0.500 0.500
0.000 0.000 0.000
0.250 0.250 0.250
0.750 0.750 0.750
```